K3Cu2NiBr9 after structural relaxation. Source: Alexandria, functional GGA-PBE.

Cell lengths 7.2777, 7.2777, 8.8668 Å; angles 90.00, 90.00, 120.00 degrees
Space group P-3m1 (No. 164)
Unique sites:
K  0.0000  0.0000  0.0000 [1 per cell]
K  0.3333  0.6667  0.6702 [2 per cell]
Cu  0.3333  0.6667  0.1660 [2 per cell]
Ni  0.0000  0.0000  0.5000 [1 per cell]
Br  0.0000  0.5000  0.0000 [3 per cell]
Br  0.1630  0.3260  0.3382 [6 per cell]

Summary:
- formation energy without anion corrections (kJ per mole of atoms) = -81.4
- crystal system = trigonal
- electronic total energy (eV per atom) = -2.998